Below is a geometry-optimized In2OsN2 structure, with properties calculated at the PBE-GGA level.

Geometry as CIF:
```
data_In2OsN2
_symmetry_space_group_name_H-M 'P 4/m b m'
_symmetry_Int_Tables_number 127
_symmetry_space_group_name_Hall '-P 4 2ab'
_cell_length_a 5.5555
_cell_length_b 5.5555
_cell_length_c 5.3383
_cell_angle_alpha 90.00
_cell_angle_beta 90.00
_cell_angle_gamma 90.00
loop_
_atom_site_label
_atom_site_type_symbol
_atom_site_fract_x
_atom_site_fract_y
_atom_site_fract_z
_atom_site_occupancy
In1 In 0.1875 0.3125 0.0000 1
Os1 Os 0.0000 0.0000 0.5000 1
N1 N 0.2446 0.2554 0.5000 1
```

Results
Offset from the most stable computed form = 0.716 eV/f.u.
Total magnetization = 0.00 μB/f.u.
Formation energy without anion corrections = 0.66 eV per atom